# 1
An optimized crystal structure of La2CeNpN5, computed with PBE.

Computed properties:
The symmetry is P4/mmm (123).

Cell lengths 4.111, 4.111, 8.981 Å; angles 90.00, 90.00, 90.00 degrees
Last column: magnetic moment on the atom in μB.
Fractional positions:
N (0.000, 0.000, 0.247)  -0.04
N (0.500, 0.500, 0.000)  -0.02
Ce (0.000, 0.000, 0.000)  0.40
N (0.000, 0.500, 0.500)  -0.06
La (0.500, 0.500, 0.271)  0.04
La (0.500, 0.500, 0.729)  0.04
N (0.500, 0.000, 0.500)  -0.06
N (0.000, 0.000, 0.753)  -0.04
Np (0.000, 0.000, 0.500)  1.35

=====

# 2
An optimized crystal structure of LaCe2OsN5, computed with PBE.

Computed properties:
The symmetry is I4/mcm (140).

Cell lengths 6.678, 6.678, 7.513 Å; angles 116.39, 116.39, 90.00 degrees
Fractional positions:
Ce (0.179, 0.321, 0.000)
N (0.284, 0.784, 0.276)
La (0.250, 0.250, 0.500)
N (0.000, 0.000, 0.000)
N (0.784, 0.992, 0.276)
N (0.008, 0.508, 0.724)
N (0.992, 0.492, 0.276)
N (0.492, 0.284, 0.276)
Os (0.250, 0.750, 0.500)
La (0.750, 0.750, 0.500)
N (0.500, 0.500, 0.000)
N (0.716, 0.216, 0.724)
Ce (0.679, 0.179, 0.000)
N (0.508, 0.716, 0.724)
Os (0.750, 0.250, 0.500)
Ce (0.321, 0.821, 0.000)
N (0.216, 0.008, 0.724)
Ce (0.821, 0.679, 0.000)

=====

# 3
An optimized crystal structure of La2Ce4P3N2, computed with PBE.

Computed properties:
The symmetry is I4/mmm (139).

Cell lengths 4.588, 4.588, 12.527 Å; angles 100.55, 100.55, 90.00 degrees
Last column: magnetic moment on the atom in μB.
Fractional positions:
N (0.601, 0.601, 0.202)  -0.03
P (0.829, 0.829, 0.659)  -0.02
Ce (0.422, 0.922, 0.843)  0.56
P (0.171, 0.171, 0.341)  -0.02
Ce (0.578, 0.078, 0.157)  0.56
N (0.399, 0.399, 0.798)  -0.03
La (0.699, 0.699, 0.399)  0.10
P (0.000, 0.000, 0.000)  -0.02
La (0.301, 0.301, 0.601)  0.10
Ce (0.078, 0.578, 0.157)  0.56
Ce (0.922, 0.422, 0.843)  0.56

=====

# 4
An optimized crystal structure of La2CeP2N6, computed with PBE.

Computed properties:
The symmetry is C2/m (12).

Cell lengths 5.507, 5.606, 6.849 Å; angles 115.59, 90.00, 119.41 degrees
Last column: magnetic moment on the atom in μB.
Fractional positions:
N (0.198, 0.898, 0.176)  0.00
La (0.299, 0.598, 0.822)  0.00
N (0.700, 0.898, 0.176)  0.00
La (0.701, 0.402, 0.178)  0.00
P (0.956, 0.911, 0.718)  0.00
N (0.300, 0.102, 0.824)  0.00
Ce (0.500, 0.000, 0.500)  0.09
N (0.768, 0.536, 0.626)  0.00
P (0.044, 0.089, 0.282)  0.00
N (0.232, 0.464, 0.374)  0.00
N (0.802, 0.102, 0.824)  0.00

=====

# 5
An optimized crystal structure of LaCePN, computed with PBE.

Computed properties:
The symmetry is P6_3mc (186).

Cell lengths 3.930, 3.930, 13.766 Å; angles 90.00, 90.00, 120.00 degrees
Last column: magnetic moment on the atom in μB.
Fractional positions:
P (0.333, 0.667, 0.277)  -0.01
N (0.000, 0.000, 0.476)  -0.02
Ce (0.667, 0.333, 0.410)  0.24
Ce (0.333, 0.667, 0.910)  0.24
N (0.000, 0.000, 0.976)  -0.02
La (0.000, 0.000, 0.148)  0.09
La (0.000, 0.000, 0.648)  0.09
P (0.667, 0.333, 0.777)  -0.01

=====

# 6
An optimized crystal structure of LaCe4Pa3N8, computed with PBE.

Computed properties:
The symmetry is R-3m (166).

Cell lengths 7.138, 7.124, 7.138 Å; angles 120.07, 120.00, 90.00 degrees
Fractional positions:
Ce (0.500, 0.000, 0.000)
N (0.743, 0.266, 0.023)
Ce (0.000, 0.000, 0.500)
N (0.743, 0.266, 0.487)
N (0.259, 0.276, 0.518)
Pa (0.000, 0.500, 0.500)
N (0.721, 0.734, 0.977)
Ce (0.000, 0.000, 0.000)
N (0.257, 0.734, 0.513)
N (0.279, 0.266, 0.023)
Pa (0.500, 0.500, 0.000)
N (0.741, 0.724, 0.482)
Pa (0.500, 0.500, 0.500)
La (0.000, 0.500, 0.000)
Ce (0.500, 0.000, 0.500)
N (0.257, 0.734, 0.977)

=====

# 7
An optimized crystal structure of La4Ce3PaN8, computed with PBE.

Computed properties:
The symmetry is R-3m (166).

Cell lengths 7.251, 7.306, 7.251 Å; angles 119.75, 120.00, 90.00 degrees
Fractional positions:
La (0.000, 0.000, 0.000)
N (0.769, 0.284, 0.015)
Ce (0.500, 0.500, 0.500)
N (0.754, 0.716, 0.985)
N (0.231, 0.716, 0.463)
Pa (0.000, 0.500, 0.000)
La (0.000, 0.000, 0.500)
La (0.500, 0.000, 0.500)
N (0.259, 0.277, 0.518)
Ce (0.500, 0.500, 0.000)
N (0.246, 0.284, 0.015)
N (0.741, 0.723, 0.482)
Ce (0.000, 0.500, 0.500)
La (0.500, 0.000, 0.000)
N (0.231, 0.716, 0.985)
N (0.769, 0.284, 0.537)

=====

# 8
An optimized crystal structure of LaCe3Pa4N12, computed with PBE.

Computed properties:
The symmetry is Im-3 (204).

Cell lengths 7.431, 7.431, 7.431 Å; angles 109.47, 109.47, 109.47 degrees
Fractional positions:
N (0.119, 0.303, 0.816)
Ce (0.500, 0.500, 0.000)
La (0.000, 0.000, 0.000)
Ce (0.500, 0.000, 0.500)
Pa (0.500, 0.500, 0.500)
Pa (0.000, 0.500, 0.000)
Pa (0.000, 0.000, 0.500)
N (0.184, 0.487, 0.303)
N (0.697, 0.184, 0.881)
N (0.513, 0.697, 0.816)
N (0.881, 0.697, 0.184)
N (0.303, 0.816, 0.119)
N (0.816, 0.119, 0.303)
Pa (0.500, 0.000, 0.000)
Ce (0.000, 0.500, 0.500)
N (0.697, 0.816, 0.513)
N (0.487, 0.303, 0.184)
N (0.816, 0.513, 0.697)
N (0.303, 0.184, 0.487)
N (0.184, 0.881, 0.697)

=====

# 9
An optimized crystal structure of LaCePaN3, computed with PBE.

Computed properties:
The symmetry is P2_1/m (11).

Cell lengths 3.551, 6.146, 9.306 Å; angles 101.80, 90.00, 90.00 degrees
Last column: magnetic moment on the atom in μB.
Fractional positions:
La (0.250, 0.354, 0.312)  0.01
N (0.750, 0.037, 0.134)  0.00
N (0.250, 0.748, 0.501)  -0.01
La (0.750, 0.646, 0.688)  0.01
Ce (0.750, 0.861, 0.359)  0.20
Pa (0.750, 0.237, 0.955)  0.03
N (0.750, 0.252, 0.499)  -0.01
Ce (0.250, 0.139, 0.641)  0.20
N (0.750, 0.545, 0.137)  0.00
Pa (0.250, 0.763, 0.045)  0.03
N (0.250, 0.963, 0.866)  0.00
N (0.250, 0.455, 0.863)  0.00

=====

# 10
An optimized crystal structure of La2Ce3PaN6, computed with PBE.

Computed properties:
The symmetry is C2/m (12).

Cell lengths 6.266, 6.266, 6.236 Å; angles 99.60, 99.60, 119.98 degrees
Fractional positions:
La (0.333, 0.667, 0.000)
N (0.916, 0.616, 0.749)
N (0.616, 0.916, 0.749)
Ce (0.833, 0.167, 0.500)
N (0.782, 0.782, 0.255)
N (0.218, 0.218, 0.745)
Ce (0.500, 0.500, 0.500)
Ce (0.167, 0.833, 0.500)
N (0.384, 0.084, 0.251)
La (0.667, 0.333, 0.000)
N (0.084, 0.384, 0.251)
Pa (0.000, 0.000, 0.000)

=====

# 11
An optimized crystal structure of La3Ce2PaN6, computed with PBE.

Computed properties:
The symmetry is C2/m (12).

Cell lengths 6.274, 6.274, 6.336 Å; angles 99.48, 99.48, 119.98 degrees
Fractional positions:
Ce (0.334, 0.666, 0.000)
N (0.072, 0.389, 0.215)
Pa (0.000, 0.000, 0.000)
La (0.168, 0.832, 0.500)
N (0.611, 0.928, 0.785)
N (0.928, 0.611, 0.785)
Ce (0.666, 0.334, 0.000)
N (0.755, 0.755, 0.219)
La (0.832, 0.168, 0.500)
N (0.389, 0.072, 0.215)
N (0.245, 0.245, 0.781)
La (0.500, 0.500, 0.500)

=====

# 12
An optimized crystal structure of LaCePa2N4, computed with PBE.

Computed properties:
The symmetry is I-4m2 (119).

Cell lengths 5.079, 5.079, 6.159 Å; angles 114.35, 114.35, 90.00 degrees
Fractional positions:
La (0.500, 0.500, 0.000)
N (0.486, 0.986, 0.972)
N (0.014, 0.514, 0.028)
Pa (0.250, 0.750, 0.500)
N (0.233, 0.233, 0.466)
Ce (0.750, 0.250, 0.500)
Pa (0.000, 0.000, 0.000)
N (0.767, 0.767, 0.534)

=====

# 13
An optimized crystal structure of La2CePbN, computed with PBE.

Computed properties:
The symmetry is P4/mmm (123).

Cell lengths 4.930, 5.146, 5.146 Å; angles 90.00, 90.00, 90.00 degrees
Last column: magnetic moment on the atom in μB.
Fractional positions:
N (0.000, 0.000, 0.000)  -0.03
Ce (0.500, 0.000, 0.000)  0.69
La (0.000, 0.000, 0.500)  0.05
La (0.000, 0.500, 0.000)  0.05
Pb (0.500, 0.500, 0.500)  -0.01

=====

# 14
An optimized crystal structure of LaCePbN, computed with PBE.

Computed properties:
The symmetry is P4/nmm (129).

Cell lengths 4.722, 4.722, 9.366 Å; angles 90.00, 90.00, 90.00 degrees
Last column: magnetic moment on the atom in μB.
Fractional positions:
Pb (0.000, 0.500, 0.790)  -0.01
Pb (0.500, 0.000, 0.210)  -0.01
Ce (0.000, 0.000, 0.500)  0.26
La (0.000, 0.500, 0.171)  -0.01
Ce (0.500, 0.500, 0.500)  0.26
N (0.000, 0.500, 0.424)  -0.02
La (0.500, 0.000, 0.829)  -0.01
N (0.500, 0.000, 0.576)  -0.02

=====

# 15
An optimized crystal structure of LaCe2PbN, computed with PBE.

Computed properties:
The symmetry is P4/mmm (123).

Cell lengths 5.157, 4.934, 4.934 Å; angles 90.00, 90.00, 90.00 degrees
Last column: magnetic moment on the atom in μB.
Fractional positions:
La (0.500, 0.000, 0.000)  0.07
Ce (0.000, 0.000, 0.500)  0.74
Ce (0.000, 0.500, 0.000)  0.74
Pb (0.500, 0.500, 0.500)  -0.02
N (0.000, 0.000, 0.000)  -0.05

=====

# 16
An optimized crystal structure of LaCe2PdN4, computed with PBE.

Computed properties:
The symmetry is Cmcm (63).

Cell lengths 3.518, 6.210, 11.954 Å; angles 90.00, 90.00, 106.46 degrees
Fractional positions:
La (0.888, 0.777, 0.250)
N (0.730, 0.461, 0.890)
Ce (0.630, 0.259, 0.446)
N (0.544, 0.087, 0.250)
N (0.000, 0.000, 0.000)
N (0.456, 0.913, 0.750)
La (0.112, 0.223, 0.750)
N (0.730, 0.461, 0.610)
Pd (0.150, 0.299, 0.250)
N (0.270, 0.539, 0.110)
Ce (0.630, 0.259, 0.054)
Ce (0.370, 0.741, 0.554)
Pd (0.850, 0.701, 0.750)
Ce (0.370, 0.741, 0.946)
N (0.000, 0.000, 0.500)
N (0.270, 0.539, 0.390)

=====

# 17
An optimized crystal structure of LaCePm2N4, computed with PBE.

Computed properties:
The symmetry is P2/m (10).

Cell lengths 3.634, 6.294, 6.277 Å; angles 109.32, 90.00, 90.00 degrees
Last column: magnetic moment on the atom in μB.
Fractional positions:
N (0.500, 0.239, 0.244)  0.00
La (0.500, 0.500, 0.000)  0.00
Pm (0.000, 0.500, 0.500)  0.01
N (0.500, 0.761, 0.756)  0.00
N (0.000, 0.762, 0.248)  0.00
Pm (0.500, 0.000, 0.500)  0.00
Ce (0.000, 0.000, 0.000)  0.10
N (0.000, 0.238, 0.752)  0.00

=====

# 18
An optimized crystal structure of LaCePmN3, computed with PBE.

Computed properties:
The symmetry is P2_1/m (11).

Cell lengths 3.601, 6.217, 9.392 Å; angles 101.44, 90.00, 90.00 degrees
Last column: magnetic moment on the atom in μB.
Fractional positions:
N (0.250, 0.960, 0.841)  -0.02
La (0.250, 0.338, 0.302)  0.08
N (0.250, 0.755, 0.492)  -0.03
N (0.750, 0.040, 0.159)  -0.02
N (0.750, 0.544, 0.171)  -0.01
La (0.750, 0.662, 0.698)  0.08
Ce (0.750, 0.852, 0.356)  0.46
Pm (0.750, 0.233, 0.955)  0.07
Pm (0.250, 0.767, 0.045)  0.07
N (0.750, 0.245, 0.508)  -0.03
Ce (0.250, 0.148, 0.644)  0.46
N (0.250, 0.456, 0.829)  -0.01

=====

# 19
An optimized crystal structure of La2Ce3PmN6, computed with PBE.

Computed properties:
The symmetry is C2/m (12).

Cell lengths 6.280, 6.280, 6.290 Å; angles 99.58, 99.58, 119.99 degrees
Fractional positions:
N (0.417, 0.090, 0.270)
Ce (0.166, 0.834, 0.500)
N (0.583, 0.910, 0.730)
La (0.667, 0.333, 0.000)
N (0.090, 0.417, 0.270)
Ce (0.834, 0.166, 0.500)
La (0.333, 0.667, 0.000)
Pm (0.000, 0.000, 0.000)
Ce (0.500, 0.500, 0.500)
N (0.763, 0.763, 0.270)
N (0.237, 0.237, 0.730)
N (0.910, 0.583, 0.730)

=====

# 20
An optimized crystal structure of LaCe2PmN4, computed with PBE.

Computed properties:
The symmetry is P2/m (10).

Cell lengths 3.616, 6.268, 6.270 Å; angles 109.43, 90.00, 90.00 degrees
Last column: magnetic moment on the atom in μB.
Fractional positions:
N (0.500, 0.261, 0.270)  -0.01
N (0.000, 0.751, 0.266)  -0.01
Pm (0.500, 0.500, 0.000)  0.01
N (0.500, 0.739, 0.730)  -0.01
La (0.000, 0.000, 0.000)  0.01
N (0.000, 0.249, 0.734)  -0.01
Ce (0.000, 0.500, 0.500)  0.06
Ce (0.500, 0.000, 0.500)  0.14

=====

# 21
An optimized crystal structure of LaCe3Pm4N8, computed with PBE.

Computed properties:
The symmetry is R-3m (166).

Cell lengths 7.224, 7.212, 7.224 Å; angles 120.05, 120.00, 90.00 degrees
Last column: magnetic moment on the atom in μB.
Fractional positions:
N (0.254, 0.261, 0.507)  0.00
N (0.737, 0.742, 0.990)  0.00
Ce (0.000, 0.500, 0.500)  -0.07
N (0.253, 0.742, 0.990)  0.00
La (0.000, 0.500, 0.000)  0.00
Pm (0.500, 0.000, 0.000)  0.00
Ce (0.500, 0.500, 0.000)  -0.07
N (0.263, 0.258, 0.010)  0.00
Pm (0.000, 0.000, 0.000)  0.00
Pm (0.000, 0.000, 0.500)  0.00
N (0.253, 0.742, 0.505)  0.00
Ce (0.500, 0.500, 0.500)  -0.07
Pm (0.500, 0.000, 0.500)  0.00
N (0.747, 0.258, 0.010)  0.00
N (0.746, 0.739, 0.493)  0.00
N (0.747, 0.258, 0.495)  0.00

=====

How do the records compare in formation energy (no corrections)? In the order shown, they have -1.217; -0.982; -1.247; -1.080; -1.264; -1.561; -1.477; -1.412; -1.403; -1.496; -1.497; -1.514; -0.897; -1.010; -0.878; -1.043; -1.427; -1.291; -1.444; -1.453; -1.457 eV/atom.